MnBeCrF2: optimized geometry, GGA+U.

a b c (Å): 3.2991 6.7370 3.2991
angles (deg): 90.00 90.00 90.00
Last column: magnetic moment on the atom in μB.
Fractional positions:
Cr 0.5000 0.5000 0.5000  1.47
Mn 0.0000 0.5000 0.0000  1.56
Be 0.0000 0.0000 0.0000  0.00
F 0.0000 0.0000 0.5000  0.01
F 0.5000 0.0000 0.0000  0.01

Computed properties:
Space group: P4/mmm (123)
Total magnetic moment in μB/atom: 0.651
Energy in eV/atom: -4.374